Here is a relaxed La3GaIr3 crystal from Alexandria via LeMat-Bulk. Energies are from PBE. Values from VASP.

Values from the calculation:
DFT formation energy: -744 meV/atom
calculated volume: 323.3 Å³ per cell
uncorrected energy: -7.0855 eV per atom
crystal system: orthorhombic

Cell and atoms, written as Quantum ESPRESSO input:
```
&SYSTEM
  ibrav = 0, nat = 14, ntyp = 3
/
ATOMIC_SPECIES
Ir 192.22 Ir.upf
La 138.91 La.upf
Ga 69.72 Ga.upf
CELL_PARAMETERS angstrom
4.2311 0.0000 0.0000
-2.1155 5.4071 0.0000
0.0000 0.0000 14.1330
ATOMIC_POSITIONS angstrom
Ir 2.1155 4.5670 12.8987
Ir 0.0000 2.5589 3.5333
Ir 2.1155 4.5670 8.3009
Ir 2.1155 2.8481 10.5998
Ir 0.0000 0.8401 5.8322
Ir 0.0000 0.8401 1.2343
La 0.0000 5.2212 10.5998
La 2.1155 3.1669 1.5103
La 2.1155 0.1859 3.5333
La 0.0000 2.2401 12.6227
La 0.0000 2.2401 8.5768
La 2.1155 3.1669 5.5562
Ga 2.1155 0.0000 0.0000
Ga 2.1155 0.0000 7.0665
```


Here is a relaxed La3GaIr crystal from Alexandria via LeMat-Bulk. Energies are from PBE. Values from VASP.

Values from the calculation:
DFT formation energy: -565 meV/atom
calculated volume: 292.6 Å³ per cell
excess energy over the best structure of this formula in the dataset: 0 meV per atom
uncorrected energy: -5.8989 eV per atom
crystal system: triclinic

Cell and atoms, written as Quantum ESPRESSO input:
```
&SYSTEM
  ibrav = 0, nat = 10, ntyp = 3
/
ATOMIC_SPECIES
La 138.91 La.upf
Ir 192.22 Ir.upf
Ga 69.72 Ga.upf
CELL_PARAMETERS angstrom
5.9111 0.0406 0.4792
-2.9323 6.0425 -0.6971
0.6920 -3.0633 8.4521
ATOMIC_POSITIONS angstrom
La 3.3096 2.8201 2.8560
La 0.4555 4.3836 0.7539
La 0.3612 0.1998 5.3782
La 3.3722 2.4879 6.3930
La 0.2986 0.5320 1.8412
La 3.2154 -1.3637 7.4803
Ir 3.4407 4.1021 0.2554
Ir 0.2301 -1.0822 7.9788
Ga 3.4183 -0.1523 4.2860
Ga 0.2526 3.1722 3.9483
```